1.
Compound: CdTcAu
Source: Alexandria via LeMat-Bulk
Functional: PBE
Structure: relaxed

Summary:
formation enthalpy at 0 K	0.30	eV per atom
crystal system	tetragonal
space group	No. 107
total magnetic moment	0.000	Bohr magnetons per cell

a b c (Å): 6.816 6.816 6.816
angles (deg): 156.07 156.07 34.10
Fractional coordinates of all 3 atoms:
Cd 0.000 0.000 0.000
Tc 0.334 0.334 0.000
Au 0.678 0.678 0.000

2.
Compound: Li4PaHg5
Source: Alexandria via LeMat-Bulk
Functional: PBE
Structure: relaxed

Summary:
formation enthalpy at 0 K	-0.26	eV per atom
crystal system	tetragonal
space group	No. 123
total magnetic moment	0.960	Bohr magnetons per cell

a b c (Å): 3.321 3.321 17.680
angles (deg): 90.00 90.00 90.00
Fractional coordinates of all 10 atoms:
Li 0.000 0.000 0.093
Li 0.000 0.000 0.280
Li 0.000 0.000 0.720
Li 0.000 0.000 0.907
Pa 0.000 0.000 0.500
Hg 0.500 0.500 0.000
Hg 0.500 0.500 0.187
Hg 0.500 0.500 0.372
Hg 0.500 0.500 0.628
Hg 0.500 0.500 0.813

3.
Compound: Zn3FeH
Source: Alexandria via LeMat-Bulk
Functional: PBE
Structure: relaxed

Summary:
VASP energy	-14.26	eV/cell
crystal system	cubic
space group	No. 221
total magnetic moment	1.755	Bohr magnetons per cell

a b c (Å): 3.852 3.852 3.852
angles (deg): 90.00 90.00 90.00
Fractional coordinates of all 5 atoms:
Zn 0.000 0.000 0.500
Zn 0.000 0.500 0.000
Zn 0.500 0.000 0.000
Fe 0.500 0.500 0.500
H 0.000 0.000 0.000

4.
Compound: BaCa2NiTe
Source: Alexandria via LeMat-Bulk
Functional: PBE
Structure: relaxed

Summary:
formation energy without anion corrections	-222	kJ/mol of formula units
crystal system	tetragonal
space group	No. 123
total magnetic moment	0.000	Bohr magnetons per cell

a b c (Å): 5.402 5.402 5.853
angles (deg): 90.00 90.00 90.00
Fractional coordinates of all 5 atoms:
Ba 0.000 0.000 0.000
Ca 0.000 0.500 0.500
Ca 0.500 0.000 0.500
Ni 0.000 0.000 0.500
Te 0.500 0.500 0.000

5.
Compound: CdSiHgF6
Source: Alexandria via LeMat-Bulk
Functional: PBE
Structure: relaxed

Summary:
formation energy without anion corrections	-2104	kJ/mol of formula units
crystal system	monoclinic
space group	No. 5
total magnetic moment	0.000	Bohr magnetons per cell

a b c (Å): 5.562 5.562 7.053
angles (deg): 90.06 90.06 120.11
Fractional coordinates of all 9 atoms:
Cd 0.000 0.000 0.000
Si 0.667 0.333 0.000
Hg 0.334 0.666 0.500
F 0.407 0.084 0.860
F 0.408 0.322 0.140
F 0.678 0.085 0.140
F 0.678 0.592 0.860
F 0.915 0.322 0.860
F 0.916 0.593 0.140

6.
Compound: ZrIn2Au
Source: Alexandria via LeMat-Bulk
Functional: PBE
Structure: relaxed

Summary:
formation enthalpy at 0 K	-0.22	eV per atom
crystal system	monoclinic
space group	No. 12
total magnetic moment	0.000	Bohr magnetons per cell

a b c (Å): 5.445 5.445 3.098
angles (deg): 90.09 90.09 109.08
Fractional coordinates of all 4 atoms:
Zr 0.000 0.000 0.000
In 0.000 0.500 0.500
In 0.500 0.000 0.500
Au 0.500 0.500 0.000

7.
Compound: ZrNpCu
Source: Alexandria via LeMat-Bulk
Functional: PBE
Structure: relaxed

Summary:
formation enthalpy at 0 K	0.13	eV per atom
crystal system	orthorhombic
space group	No. 69
total magnetic moment	7.837	Bohr magnetons per cell

a b c (Å): 6.913 5.821 5.141
angles (deg): 77.92 55.43 46.65
Fractional coordinates of all 6 atoms:
Zr 0.150 0.150 0.850
Zr 0.850 0.850 0.150
Np 0.342 0.658 0.342
Np 0.658 0.342 0.658
Cu 0.250 0.250 0.250
Cu 0.750 0.750 0.750

8.
Compound: CeMg2InSn
Source: Alexandria via LeMat-Bulk
Functional: PBE
Structure: relaxed

Summary:
formation enthalpy at 0 K	-0.26	eV per atom
crystal system	orthorhombic
space group	No. 63
total magnetic moment	1.911	Bohr magnetons per cell

a b c (Å): 6.028 6.028 9.856
angles (deg): 90.00 90.00 134.07
Fractional coordinates of all 10 atoms:
Ce 0.055 0.945 0.750
Ce 0.945 0.055 0.250
Mg 0.225 0.775 0.084
Mg 0.225 0.775 0.416
Mg 0.775 0.225 0.584
Mg 0.775 0.225 0.916
In 0.500 0.500 0.000
In 0.500 0.500 0.500
Sn 0.339 0.661 0.750
Sn 0.661 0.339 0.250

9.
Compound: Er8BiC4
Source: Alexandria via LeMat-Bulk
Functional: PBE
Structure: relaxed

Summary:
formation enthalpy at 0 K	-0.37	eV per atom
crystal system	monoclinic
space group	No. 12
total magnetic moment	0.002	Bohr magnetons per cell

a b c (Å): 8.839 8.839 11.816
angles (deg): 129.92 129.92 23.51
Fractional coordinates of all 13 atoms:
Er 0.041 0.041 0.234
Er 0.294 0.294 0.431
Er 0.334 0.334 0.158
Er 0.368 0.368 0.911
Er 0.632 0.632 0.089
Er 0.666 0.666 0.842
Er 0.706 0.706 0.569
Er 0.959 0.959 0.766
Bi 0.000 0.000 0.500
C 0.148 0.148 0.959
C 0.334 0.334 0.671
C 0.666 0.666 0.329
C 0.852 0.852 0.041

10.
Compound: Tb4Hg3
Source: Alexandria via LeMat-Bulk
Functional: PBE
Structure: relaxed

Summary:
formation enthalpy at 0 K	-0.32	eV per atom
crystal system	trigonal
space group	No. 166
total magnetic moment	0.007	Bohr magnetons per cell

a b c (Å): 8.964 8.964 8.964
angles (deg): 33.82 33.82 33.82
Fractional coordinates of all 7 atoms:
Tb 0.121 0.121 0.121
Tb 0.372 0.372 0.372
Tb 0.628 0.628 0.628
Tb 0.879 0.879 0.879
Hg 0.251 0.251 0.251
Hg 0.500 0.500 0.500
Hg 0.749 0.749 0.749

11.
Compound: MgBeIn4
Source: Alexandria via LeMat-Bulk
Functional: PBE
Structure: relaxed

Summary:
formation enthalpy at 0 K	0.54	eV per atom
crystal system	cubic
space group	No. 216
total magnetic moment	0.000	Bohr magnetons per cell

a b c (Å): 6.065 6.065 6.065
angles (deg): 60.00 60.00 60.00
Fractional coordinates of all 6 atoms:
Mg 0.000 0.000 0.000
Be 0.750 0.750 0.750
In 0.375 0.375 0.375
In 0.375 0.375 0.874
In 0.375 0.874 0.375
In 0.874 0.375 0.375

12.
Compound: BiTeI2N
Source: Alexandria via LeMat-Bulk
Functional: PBE
Structure: relaxed

Summary:
formation energy without anion corrections	436	kJ/mol of formula units
crystal system	tetragonal
space group	No. 123
total magnetic moment	0.001	Bohr magnetons per cell

a b c (Å): 6.384 6.384 4.166
angles (deg): 90.00 90.00 90.00
Fractional coordinates of all 5 atoms:
Bi 0.000 0.000 0.000
Te 0.500 0.500 0.500
I 0.000 0.500 0.000
I 0.500 0.000 0.000
N 0.000 0.000 0.500

13.
Compound: AlTcOs2
Source: Alexandria via LeMat-Bulk
Functional: PBE
Structure: relaxed

Summary:
formation enthalpy at 0 K	-0.10	eV per atom
crystal system	monoclinic
space group	No. 8
total magnetic moment	0.000	Bohr magnetons per cell

a b c (Å): 5.050 5.050 4.679
angles (deg): 113.54 113.54 32.20
Fractional coordinates of all 4 atoms:
Al 0.000 0.000 0.000
Tc 0.772 0.772 0.404
Os 0.248 0.248 0.909
Os 0.519 0.519 0.495

14.
Compound: PmNd4Sm4
Source: Alexandria via LeMat-Bulk
Functional: PBE
Structure: relaxed

Summary:
formation enthalpy at 0 K	0.01	eV per atom
crystal system	triclinic
space group	No. 2
total magnetic moment	0.000	Bohr magnetons per cell

a b c (Å): 5.177 8.162 8.172
angles (deg): 107.58 108.38 90.05
Fractional coordinates of all 9 atoms:
Pm 0.000 0.000 0.000
Nd 0.222 0.334 0.444
Nd 0.334 0.000 0.667
Nd 0.666 0.000 0.333
Nd 0.778 0.666 0.556
Sm 0.110 0.666 0.221
Sm 0.445 0.666 0.890
Sm 0.555 0.334 0.110
Sm 0.890 0.334 0.779

15.
Compound: SrTeAsI2
Source: Alexandria via LeMat-Bulk
Functional: PBE
Structure: relaxed

Summary:
formation energy without anion corrections	-265	kJ/mol of formula units
crystal system	tetragonal
space group	No. 123
total magnetic moment	0.000	Bohr magnetons per cell

a b c (Å): 5.600 5.600 5.855
angles (deg): 90.00 90.00 90.00
Fractional coordinates of all 5 atoms:
Sr 0.000 0.000 0.000
Te 0.500 0.500 0.000
As 0.500 0.500 0.500
I 0.000 0.500 0.500
I 0.500 0.000 0.500

16.
Compound: MgTc2Se
Source: Alexandria via LeMat-Bulk
Functional: PBE
Structure: relaxed

Summary:
formation energy without anion corrections	80	kJ/mol of formula units
crystal system	monoclinic
space group	No. 8
total magnetic moment	0.000	Bohr magnetons per cell

a b c (Å): 4.869 4.869 4.605
angles (deg): 108.91 108.91 37.32
Fractional coordinates of all 4 atoms:
Mg 0.000 0.000 0.000
Tc 0.497 0.497 0.504
Tc 0.754 0.754 0.171
Se 0.237 0.237 0.713

17.
Compound: Sr2Zn4CuPd3
Source: Alexandria via LeMat-Bulk
Functional: PBE
Structure: relaxed

Summary:
formation enthalpy at 0 K	-0.45	eV per atom
crystal system	tetragonal
space group	No. 115
total magnetic moment	0.000	Bohr magnetons per cell

a b c (Å): 4.471 4.471 10.164
angles (deg): 90.00 90.00 90.00
Fractional coordinates of all 10 atoms:
Sr 0.000 0.500 0.244
Sr 0.500 0.000 0.756
Zn 0.000 0.000 0.500
Zn 0.000 0.500 0.880
Zn 0.500 0.000 0.120
Zn 0.500 0.500 0.500
Cu 0.500 0.500 0.000
Pd 0.000 0.000 0.000
Pd 0.000 0.500 0.627
Pd 0.500 0.000 0.373

18.
Compound: BeTlP2
Source: Alexandria via LeMat-Bulk
Functional: PBE
Structure: relaxed

Summary:
formation enthalpy at 0 K	0.75	eV per atom
crystal system	orthorhombic
space group	No. 47
total magnetic moment	0.000	Bohr magnetons per cell

a b c (Å): 3.408 3.584 6.032
angles (deg): 90.00 90.00 90.00
Fractional coordinates of all 4 atoms:
Be 0.000 0.000 0.000
Tl 0.500 0.500 0.000
P 0.000 0.500 0.500
P 0.500 0.000 0.500

19.
Compound: Co2NiHg
Source: Alexandria via LeMat-Bulk
Functional: PBE
Structure: relaxed

Summary:
formation enthalpy at 0 K	0.48	eV per atom
crystal system	monoclinic
space group	No. 12
total magnetic moment	3.839	Bohr magnetons per cell

a b c (Å): 5.189 5.189 2.690
angles (deg): 103.21 103.21 120.57
Fractional coordinates of all 4 atoms:
Co 0.000 0.500 0.000
Co 0.500 0.000 0.000
Ni 0.000 0.000 0.500
Hg 0.500 0.500 0.500

20.
Compound: TcAsCSe2
Source: Alexandria via LeMat-Bulk
Functional: PBE
Structure: relaxed

Summary:
formation energy without anion corrections	817	kJ/mol of formula units
crystal system	tetragonal
space group	No. 123
total magnetic moment	1.406	Bohr magnetons per cell

a b c (Å): 4.842 4.842 4.828
angles (deg): 90.00 90.00 90.00
Fractional coordinates of all 5 atoms:
Tc 0.000 0.000 0.000
As 0.000 0.000 0.500
C 0.500 0.500 0.500
Se 0.000 0.500 0.000
Se 0.500 0.000 0.000

21.
Compound: Mg2ZrRu
Source: Alexandria via LeMat-Bulk
Functional: PBE
Structure: relaxed

Summary:
formation enthalpy at 0 K	0.15	eV per atom
crystal system	cubic
space group	No. 225
total magnetic moment	0.000	Bohr magnetons per cell

a b c (Å): 4.673 4.673 4.673
angles (deg): 60.00 60.00 60.00
Fractional coordinates of all 4 atoms:
Mg 0.250 0.250 0.250
Mg 0.750 0.750 0.750
Zr 0.000 0.000 0.000
Ru 0.500 0.500 0.500